Entry 1:
The following is a DFT calculation (PBE) of an optimized crystal structure of La5ThCd6.

Computed properties:
Symmetry = C2/m, No. 12

```
La5ThCd6
1.0
-0.0803 -1.7618 -5.2487
8.9989 2.6976 1.8840
-4.1307 -6.8408 5.2866
Cd Th La
6 1 5
Cartesian
-0.9802 -3.0338 1.0360 Cd
1.4385 -6.0165 2.0079 Cd
1.1326 -2.3274 -2.1539 Cd
3.6553 -3.5776 4.0758 Cd
3.3494 0.1115 -0.0860 Cd
5.7681 -2.8712 0.8859 Cd
0.0000 0.0000 0.0000 Th
-1.9804 -6.1303 2.0946 La
0.2471 -3.6604 4.1521 La
2.3939 -2.9525 0.9610 La
4.6211 -0.4828 3.0185 La
6.7683 0.2254 -0.1727 La
```


Entry 2:
The following is a DFT calculation (PBE) of an optimized crystal structure of La5Th2Cd2.

Computed properties:
Symmetry = Cmce, No. 64

```
La5Th2Cd2
1.0
8.6843 0.0000 0.0000
0.0000 7.7251 -3.9712
0.0000 -0.0307 9.4396
La Th Cd
10 4 4
Cartesian
0.0000 0.0000 0.0000 La
4.3422 3.8626 -1.9856 La
7.2223 6.2949 -0.5807 La
1.4621 3.5896 0.8100 La
2.8801 7.4522 -1.1756 La
5.8042 2.4324 1.4049 La
1.4621 1.3995 6.0491 La
7.2223 4.1048 4.6584 La
5.8042 0.2423 6.6440 La
2.8801 5.2621 4.0635 La
5.5127 6.7101 -3.4494 Th
3.1716 1.0151 -0.5218 Th
1.1706 4.8776 -2.5074 Th
7.5138 2.8475 -1.4638 Th
0.0000 1.5770 3.0676 Cd
4.3422 5.4395 1.0820 Cd
0.0000 6.1175 2.4008 Cd
4.3422 2.2549 4.3864 Cd
```


Entry 3:
The following is a DFT calculation (PBE) of an optimized crystal structure of La2ThCd.

Computed properties:
Symmetry = P4/mmm, No. 123

```
La2ThCd
1.0
5.0726 0.0000 0.0000
0.0000 4.9878 0.0000
0.0000 0.0000 4.9878
Cd Th La
1 1 2
Cartesian
2.5363 0.0000 0.0000 Cd
2.5363 2.4939 2.4939 Th
0.0000 0.0000 2.4939 La
0.0000 2.4939 0.0000 La
```


no.,ΔE_f (meV per atom),uncorrected energy (eV for the cell shown)
1,-278.6,-40.890
2,47.8,-81.753
3,-50.6,-18.392